1.
! Ca2ScPt2 GGA-PBE relaxed; values from VASP
&SYSTEM
  ibrav = 0, nat = 10, ntyp = 3
/
ATOMIC_SPECIES
Ca 40.08 Ca.upf
Sc 44.96 Sc.upf
Pt 195.08 Pt.upf
ATOMIC_POSITIONS crystal
Ca 0.169 0.331 0.000
Ca 0.331 0.831 0.000
Ca 0.669 0.169 0.000
Ca 0.831 0.669 0.000
Sc 0.000 0.000 0.500
Sc 0.500 0.500 0.500
Pt 0.136 0.636 0.500
Pt 0.364 0.136 0.500
Pt 0.636 0.864 0.500
Pt 0.864 0.364 0.500
CELL_PARAMETERS angstrom
7.181 0.000 0.000
0.000 7.181 0.000
0.000 0.000 4.471
! - calculated volume (Å³ per atom) = 23.06
! - N(E_F) (states/eV/f.u.) = 3.83
! - space group = No. 127
! - crystal system = tetragonal
! - magnetization (μB per formula unit) = 0.0
! - final energy (eV/atom) = -5.36

---

2.
! CaSc2Pt GGA-PBE relaxed; values from VASP
&SYSTEM
  ibrav = 0, nat = 8, ntyp = 3
/
ATOMIC_SPECIES
Ca 40.08 Ca.upf
Sc 44.96 Sc.upf
Pt 195.08 Pt.upf
ATOMIC_POSITIONS crystal
Ca 0.000 0.000 0.000
Ca 0.500 0.500 0.500
Sc 0.000 0.500 0.250
Sc 0.000 0.500 0.750
Sc 0.500 0.000 0.250
Sc 0.500 0.000 0.750
Pt 0.000 0.000 0.500
Pt 0.500 0.500 0.000
CELL_PARAMETERS angstrom
4.247 0.000 0.000
0.000 4.247 0.000
0.000 0.000 9.914
! - calculated volume (Å³ per atom) = 22.35
! - N(E_F) (states/eV/f.u.) = 4.56
! - space group = No. 139
! - crystal system = tetragonal
! - magnetization (μB per formula unit) = 1.7
! - final energy (eV/atom) = -5.44

---

3.
! CaSc2Pt GGA-PBE relaxed; values from VASP
&SYSTEM
  ibrav = 0, nat = 4, ntyp = 3
/
ATOMIC_SPECIES
Ca 40.08 Ca.upf
Sc 44.96 Sc.upf
Pt 195.08 Pt.upf
ATOMIC_POSITIONS crystal
Ca 0.000 0.000 0.000
Sc 0.500 0.500 0.325
Sc 0.500 0.500 0.675
Pt 0.000 0.000 0.500
CELL_PARAMETERS angstrom
3.353 0.000 0.000
0.000 3.353 0.000
0.000 0.000 8.913
! - calculated volume (Å³ per atom) = 25.06
! - N(E_F) (states/eV/f.u.) = 5.47
! - space group = No. 123
! - crystal system = tetragonal
! - magnetization (μB per formula unit) = 0.0
! - final energy (eV/atom) = -5.69

---

4.
! CaSc2Pt GGA-PBE relaxed; values from VASP
&SYSTEM
  ibrav = 0, nat = 12, ntyp = 3
/
ATOMIC_SPECIES
Ca 40.08 Ca.upf
Sc 44.96 Sc.upf
Pt 195.08 Pt.upf
ATOMIC_POSITIONS crystal
Ca 0.000 0.000 0.000
Ca 0.333 0.667 0.667
Ca 0.667 0.333 0.333
Sc 0.000 0.000 0.219
Sc 0.000 0.000 0.781
Sc 0.333 0.667 0.448
Sc 0.333 0.667 0.886
Sc 0.667 0.333 0.114
Sc 0.667 0.333 0.552
Pt 0.000 0.000 0.500
Pt 0.333 0.667 0.167
Pt 0.667 0.333 0.833
CELL_PARAMETERS angstrom
3.926 0.000 0.000
-1.963 3.400 0.000
0.000 0.000 25.953
! - calculated volume (Å³ per atom) = 28.87
! - N(E_F) (states/eV/f.u.) = 4.13
! - space group = No. 166
! - crystal system = trigonal
! - magnetization (μB per formula unit) = 0.0
! - final energy (eV/atom) = -5.63

---

5.
! CaSc2Pt2 GGA-PBE relaxed; values from VASP
&SYSTEM
  ibrav = 0, nat = 10, ntyp = 3
/
ATOMIC_SPECIES
Ca 40.08 Ca.upf
Sc 44.96 Sc.upf
Pt 195.08 Pt.upf
ATOMIC_POSITIONS crystal
Ca 0.000 0.000 0.000
Ca 0.500 0.500 0.500
Sc 0.000 0.500 0.250
Sc 0.000 0.500 0.750
Sc 0.500 0.000 0.250
Sc 0.500 0.000 0.750
Pt 0.000 0.000 0.385
Pt 0.000 0.000 0.615
Pt 0.500 0.500 0.115
Pt 0.500 0.500 0.885
CELL_PARAMETERS angstrom
4.414 0.000 0.000
0.000 4.414 0.000
0.000 0.000 11.638
! - calculated volume (Å³ per atom) = 22.67
! - N(E_F) (states/eV/f.u.) = 2.72
! - space group = No. 139
! - crystal system = tetragonal
! - magnetization (μB per formula unit) = 0.0
! - final energy (eV/atom) = -6.37

---

6.
! CaSc2Pt GGA-PBE relaxed; values from VASP
&SYSTEM
  ibrav = 0, nat = 8, ntyp = 3
/
ATOMIC_SPECIES
Ca 40.08 Ca.upf
Sc 44.96 Sc.upf
Pt 195.08 Pt.upf
ATOMIC_POSITIONS crystal
Ca 0.000 0.000 0.000
Ca 0.500 0.500 0.000
Sc 0.250 0.250 0.500
Sc 0.250 0.750 0.500
Sc 0.750 0.250 0.500
Sc 0.750 0.750 0.500
Pt 0.000 0.500 0.000
Pt 0.500 0.000 0.000
CELL_PARAMETERS angstrom
6.016 0.000 0.000
0.000 10.243 0.000
-1.304 0.000 2.863
! - calculated volume (Å³ per atom) = 22.05
! - N(E_F) (states/eV/f.u.) = 4.92
! - space group = No. 12
! - crystal system = monoclinic
! - magnetization (μB per formula unit) = 0.0
! - final energy (eV/atom) = -5.36

---

7.
! Ca2ScPt2 GGA-PBE relaxed; values from VASP
&SYSTEM
  ibrav = 0, nat = 10, ntyp = 3
/
ATOMIC_SPECIES
Ca 40.08 Ca.upf
Sc 44.96 Sc.upf
Pt 195.08 Pt.upf
ATOMIC_POSITIONS crystal
Ca 0.024 0.277 0.145
Ca 0.277 0.024 0.645
Ca 0.723 0.976 0.355
Ca 0.976 0.723 0.855
Sc 0.418 0.582 0.250
Sc 0.582 0.418 0.750
Pt 0.208 0.507 0.492
Pt 0.493 0.792 0.008
Pt 0.507 0.208 0.992
Pt 0.792 0.493 0.508
CELL_PARAMETERS angstrom
5.581 -2.988 0.000
5.581 2.988 0.000
-1.564 0.000 7.314
! - calculated volume (Å³ per atom) = 24.40
! - N(E_F) (states/eV/f.u.) = 2.67
! - space group = No. 15
! - crystal system = monoclinic
! - magnetization (μB per formula unit) = 0.0
! - final energy (eV/atom) = -5.40

---

8.
! CaSc2Pt2 GGA-PBE relaxed; values from VASP
&SYSTEM
  ibrav = 0, nat = 10, ntyp = 3
/
ATOMIC_SPECIES
Ca 40.08 Ca.upf
Sc 44.96 Sc.upf
Pt 195.08 Pt.upf
ATOMIC_POSITIONS crystal
Ca 0.000 0.000 0.000
Ca 0.500 0.500 0.000
Sc 0.136 0.364 0.000
Sc 0.364 0.864 0.000
Sc 0.636 0.136 0.000
Sc 0.864 0.636 0.000
Pt 0.159 0.659 0.500
Pt 0.341 0.159 0.500
Pt 0.659 0.841 0.500
Pt 0.841 0.341 0.500
CELL_PARAMETERS angstrom
8.142 0.000 0.000
0.000 8.142 0.000
0.000 0.000 3.027
! - calculated volume (Å³ per atom) = 20.07
! - N(E_F) (states/eV/f.u.) = 2.18
! - space group = No. 127
! - crystal system = tetragonal
! - magnetization (μB per formula unit) = 0.0
! - final energy (eV/atom) = -6.27

---

9.
! CaSc2Pt GGA-PBE relaxed; values from VASP
&SYSTEM
  ibrav = 0, nat = 8, ntyp = 3
/
ATOMIC_SPECIES
Ca 40.08 Ca.upf
Sc 44.96 Sc.upf
Pt 195.08 Pt.upf
ATOMIC_POSITIONS crystal
Ca 0.000 0.000 0.000
Ca 0.500 0.500 0.500
Sc 0.000 0.000 0.500
Sc 0.000 0.500 0.250
Sc 0.500 0.000 0.750
Sc 0.500 0.500 0.000
Pt 0.000 0.500 0.750
Pt 0.500 0.000 0.250
CELL_PARAMETERS angstrom
4.202 0.000 0.000
0.000 4.202 0.000
0.000 0.000 9.908
! - calculated volume (Å³ per atom) = 21.87
! - N(E_F) (states/eV/f.u.) = 5.90
! - space group = No. 119
! - crystal system = tetragonal
! - magnetization (μB per formula unit) = 0.0
! - final energy (eV/atom) = -5.45

---

10.
! CaSc2Pt GGA-PBE relaxed; values from VASP
&SYSTEM
  ibrav = 0, nat = 16, ntyp = 3
/
ATOMIC_SPECIES
Ca 40.08 Ca.upf
Sc 44.96 Sc.upf
Pt 195.08 Pt.upf
ATOMIC_POSITIONS crystal
Ca 0.000 0.000 0.000
Ca 0.000 0.500 0.250
Ca 0.500 0.000 0.750
Ca 0.500 0.500 0.500
Sc 0.171 0.250 0.625
Sc 0.250 0.671 0.875
Sc 0.250 0.829 0.375
Sc 0.329 0.250 0.125
Sc 0.671 0.750 0.125
Sc 0.750 0.171 0.375
Sc 0.750 0.329 0.875
Sc 0.829 0.750 0.625
Pt 0.000 0.000 0.500
Pt 0.000 0.500 0.750
Pt 0.500 0.000 0.250
Pt 0.500 0.500 0.000
CELL_PARAMETERS angstrom
8.261 0.000 0.000
0.000 8.261 0.000
0.000 0.000 6.134
! - calculated volume (Å³ per atom) = 26.16
! - N(E_F) (states/eV/f.u.) = 6.42
! - space group = No. 122
! - crystal system = tetragonal
! - magnetization (μB per formula unit) = 0.0
! - final energy (eV/atom) = -5.57

---

11.
! CaSc2Pt GGA-PBE relaxed; values from VASP
&SYSTEM
  ibrav = 0, nat = 8, ntyp = 3
/
ATOMIC_SPECIES
Ca 40.08 Ca.upf
Sc 44.96 Sc.upf
Pt 195.08 Pt.upf
ATOMIC_POSITIONS crystal
Ca 0.000 0.000 0.000
Ca 0.500 0.500 0.500
Sc 0.000 0.500 0.198
Sc 0.000 0.500 0.802
Sc 0.500 0.000 0.302
Sc 0.500 0.000 0.698
Pt 0.000 0.000 0.500
Pt 0.500 0.500 0.000
CELL_PARAMETERS angstrom
3.459 0.000 0.000
0.000 5.225 0.000
0.000 0.000 10.579
! - calculated volume (Å³ per atom) = 23.90
! - N(E_F) (states/eV/f.u.) = 4.92
! - space group = No. 71
! - crystal system = orthorhombic
! - magnetization (μB per formula unit) = 0.0
! - final energy (eV/atom) = -5.72

---

12.
! CaSc2Pt GGA-PBE relaxed; values from VASP
&SYSTEM
  ibrav = 0, nat = 12, ntyp = 3
/
ATOMIC_SPECIES
Ca 40.08 Ca.upf
Sc 44.96 Sc.upf
Pt 195.08 Pt.upf
ATOMIC_POSITIONS crystal
Ca 0.000 0.000 0.000
Ca 0.333 0.667 0.667
Ca 0.667 0.333 0.333
Sc 0.000 0.000 0.423
Sc 0.000 0.000 0.577
Sc 0.333 0.667 0.090
Sc 0.333 0.667 0.243
Sc 0.667 0.333 0.757
Sc 0.667 0.333 0.910
Pt 0.000 0.000 0.500
Pt 0.333 0.667 0.167
Pt 0.667 0.333 0.833
CELL_PARAMETERS angstrom
3.229 0.000 0.000
-1.615 2.797 0.000
0.000 0.000 32.654
! - calculated volume (Å³ per atom) = 24.57
! - N(E_F) (states/eV/f.u.) = 5.19
! - space group = No. 166
! - crystal system = trigonal
! - magnetization (μB per formula unit) = 0.0
! - final energy (eV/atom) = -4.98

---

13.
! Ca3ScPt4 GGA-PBE relaxed; values from VASP
&SYSTEM
  ibrav = 0, nat = 8, ntyp = 3
/
ATOMIC_SPECIES
Ca 40.08 Ca.upf
Sc 44.96 Sc.upf
Pt 195.08 Pt.upf
ATOMIC_POSITIONS crystal
Ca 0.000 0.000 0.000
Ca 0.000 0.000 0.253
Ca 0.000 0.000 0.747
Sc 0.000 0.000 0.500
Pt 0.500 0.500 0.128
Pt 0.500 0.500 0.394
Pt 0.500 0.500 0.606
Pt 0.500 0.500 0.872
CELL_PARAMETERS angstrom
3.407 0.000 0.000
0.000 3.407 0.000
0.000 0.000 14.095
! - calculated volume (Å³ per atom) = 20.45
! - N(E_F) (states/eV/f.u.) = 4.02
! - space group = No. 123
! - crystal system = tetragonal
! - magnetization (μB per formula unit) = 0.0
! - final energy (eV/atom) = -5.54